a | GeBTe3 | PBE | optimized geometry

The structure in extended XYZ format:
```
5
Lattice="4.8918 0.0000 0.0000 0.0000 4.8918 0.0000 0.0000 0.0000 4.8918" Properties=species:S:1:pos:R:3 pbc="T T T"
Te 0.0000 2.4459 0.0000
Te 0.0000 0.0000 2.4459
B 0.0000 0.0000 0.0000
Ge 2.4459 2.4459 2.4459
Te 2.4459 0.0000 0.0000
```

Computed properties:
**D(E_F)**: 4.1 states/eV/cell
**Space-group type**: No. 221
**Total moment**: 0.0 μB per formula unit

***

b | GeBTe3 | PBE | optimized geometry

The structure in extended XYZ format:
```
5
Lattice="5.4145 0.0000 0.0000 0.0000 5.4145 0.0000 0.0000 0.0000 5.4145" Properties=species:S:1:pos:R:3 pbc="T T T"
Te 0.0000 2.7073 0.0000
B 2.7073 2.7073 2.7073
Te 2.7073 0.0000 0.0000
Ge 0.0000 0.0000 0.0000
Te 0.0000 0.0000 2.7073
```

Computed properties:
**D(E_F)**: 4.5 states/eV/cell
**Space-group type**: No. 221
**Total moment**: 0.0 μB per formula unit

***

Going by the energies, a is most stable and the next is 638 meV/atom up.

***

a | TiGe3B | PBE | optimized geometry

The structure in extended XYZ format:
```
5
Lattice="4.3787 0.0000 0.0000 0.0000 4.3787 0.0000 0.0000 0.0000 4.3787" Properties=species:S:1:pos:R:3 pbc="T T T"
Ge 2.1893 0.0000 0.0000
Ge 0.0000 0.0000 2.1893
Ge 0.0000 2.1893 0.0000
Ti 2.1893 2.1893 2.1893
B 0.0000 0.0000 0.0000
```

Computed properties:
**D(E_F)**: 4.7 states/eV/cell
**Space-group type**: No. 221
**Total moment**: 1.3 μB per formula unit

***

b | TiGe3B | PBE | optimized geometry

The structure in extended XYZ format:
```
5
Lattice="-3.1912 -1.2575 -3.4674 2.1337 -4.3693 -0.3792 -3.0085 -1.7650 3.4090" Properties=species:S:1:pos:R:3 pbc="T T T"
B -2.0330 -3.6959 -0.2188
Ti 0.0000 0.0000 0.0000
Ge -1.5956 -0.6287 -1.7337
Ge -1.5043 -0.8825 1.7045
Ge 1.0669 -2.1847 -0.1896
```

Computed properties:
**D(E_F)**: 2.0 states/eV/cell
**Space-group type**: No. 221
**Total moment**: 0.0 μB per formula unit

***

Going by the energies, a is most stable and the next is 479 meV/atom up.

***

a | TlGeB2 | PBE | optimized geometry

The structure in extended XYZ format:
```
8
Lattice="-4.1860 -3.2250 0.5530 2.9838 -3.3937 2.7944 -1.8364 -0.9985 5.7992" Properties=species:S:1:pos:R:3 pbc="T T T"
B -2.4653 -2.5068 2.1134
Tl 0.0000 0.0000 0.0000
B -1.6591 -3.4232 5.7630
B 0.6454 -2.9565 3.2968
Ge 0.2732 -3.8508 5.1337
Ge -0.6011 -3.3094 1.6737
B -2.5983 -6.3481 7.1201
Tl -3.3118 -3.7665 4.0130
```

Computed properties:
**D(E_F)**: 3.6 states/eV/cell
**Space-group type**: No. 122
**Total moment**: 0.0 μB per formula unit

***

b | TlGeB2 | PBE | optimized geometry

The structure in extended XYZ format:
```
4
Lattice="0.0000 3.1479 3.1479 3.1479 0.0000 3.1479 3.1479 3.1479 0.0000" Properties=species:S:1:pos:R:3 pbc="T T T"
Ge 0.0000 0.0000 0.0000
B 1.5739 1.5739 1.5739
Tl 3.1479 3.1479 3.1479
B 4.7218 4.7218 4.7218
```

Computed properties:
**D(E_F)**: 2.1 states/eV/cell
**Space-group type**: No. 225
**Total moment**: 0.0 μB per formula unit

***

Going by the energies, a is most stable and the next is 694 meV/atom up.

***

a | TlGe2B2 | PBE | optimized geometry

The structure in extended XYZ format:
```
5
Lattice="4.1204 0.0000 0.0000 0.0000 4.1204 0.0000 2.0602 2.0602 4.7570" Properties=species:S:1:pos:R:3 pbc="T T T"
Ge 2.0602 2.0602 1.3883
B 4.1204 2.0602 2.3785
Ge 4.1204 4.1204 3.3688
B 2.0602 4.1204 2.3785
Tl 0.0000 0.0000 0.0000
```

Computed properties:
**D(E_F)**: 1.4 states/eV/cell
**Space-group type**: No. 139
**Total moment**: 0.0 μB per formula unit

***

b | TlGe2B2 | PBE | optimized geometry

The structure in extended XYZ format:
```
10
Lattice="-2.0885 -2.6932 -6.8289 -5.5761 -4.0357 3.2969 -2.0188 2.4912 -0.3651" Properties=species:S:1:pos:R:3 pbc="T T T"
Tl -3.8323 -3.3644 -1.7660
Ge -5.3392 -4.8892 -3.8371
Tl 0.0000 0.0000 0.0000
B -2.3232 -0.2048 -2.8145
Ge -2.3254 -1.8397 0.3051
B -4.3898 -1.2923 1.1930
Ge -5.6035 -4.4896 0.3510
Ge -2.0611 -2.2393 -3.8831
B -5.2936 -2.9454 -5.0901
B -7.3602 -4.0330 -1.0827
```

Computed properties:
**D(E_F)**: 3.9 states/eV/cell
**Space-group type**: No. 127
**Total moment**: 0.0 μB per formula unit

***

Going by the energies, a is most stable and the next is 134 meV/atom up.

***

a | TmGeB | PBE | optimized geometry

The structure in extended XYZ format:
```
12
Lattice="-2.7704 -0.2942 -2.2635 3.4286 0.0127 -4.1980 0.6839 -10.4919 0.5268" Properties=species:S:1:pos:R:3 pbc="T T T"
B -0.5147 -9.0886 -2.4581
Tm 0.2221 -0.6542 -1.6100
B -1.1120 -3.8436 -2.4088
Ge 1.2546 -2.2136 -5.5172
Tm 0.8171 -4.8732 -4.6360
Ge 1.0061 -3.3092 -2.2243
Ge 0.0876 -8.5598 -0.4176
Tm 1.1200 -10.1193 -4.3248
Ge 0.3361 -7.4643 -3.7104
B 1.8568 -1.6849 -3.4767
Tm 0.5251 -5.9003 -1.2988
B 2.4541 -6.9299 -3.5260
```

Computed properties:
**D(E_F)**: 1.2 states/eV/cell
**Space-group type**: No. 62
**Total moment**: 0.0 μB per formula unit

***

b | TmGeB | PBE | optimized geometry

The structure in extended XYZ format:
```
3
Lattice="-1.0114 3.5743 2.0330 -0.3284 -1.8395 3.0707 3.1737 1.4184 -0.9149" Properties=species:S:1:pos:R:3 pbc="T T T"
Tm 1.3659 2.5957 1.7010
Ge -0.1187 0.4195 0.2386
B 0.5867 0.1381 2.2493
```

Computed properties:
**D(E_F)**: 0.5 states/eV/cell
**Space-group type**: No. 156
**Total moment**: 0.0 μB per formula unit

***

Going by the energies, b is most stable and the next is 330 meV/atom up.

***

a | VGe3B | PBE | optimized geometry

The structure in extended XYZ format:
```
5
Lattice="4.3485 0.0000 0.0000 0.0000 4.3485 0.0000 0.0000 0.0000 4.3485" Properties=species:S:1:pos:R:3 pbc="T T T"
B 0.0000 0.0000 0.0000
Ge 0.0000 2.1742 0.0000
Ge 2.1742 0.0000 0.0000
Ge 0.0000 0.0000 2.1742
V 2.1742 2.1742 2.1742
```

Computed properties:
**D(E_F)**: 4.6 states/eV/cell
**Space-group type**: No. 221
**Total moment**: 3.1 μB per formula unit

***

b | VGe3B | PBE | optimized geometry

The structure in extended XYZ format:
```
5
Lattice="4.7195 0.0000 0.0000 0.0000 4.7195 0.0000 0.0000 0.0000 4.7195" Properties=species:S:1:pos:R:3 pbc="T T T"
Ge 2.3597 0.0000 0.0000
V 0.0000 0.0000 0.0000
Ge 0.0000 2.3597 0.0000
B 2.3597 2.3597 2.3597
Ge 0.0000 0.0000 2.3597
```

Computed properties:
**D(E_F)**: 2.8 states/eV/cell
**Space-group type**: No. 221
**Total moment**: 0.1 μB per formula unit

***

Going by the energies, a is most stable and the next is 253 meV/atom up.